First-principles (PBE) data for crystalline SiPd2C at its relaxed geometry, as listed in the Alexandria database.

a b c (Å): 5.883 5.883 5.883
angles (deg): 90.00 90.00 90.00
Space group Fm-3m (No. 225)
Unique sites:
1 Si 0.000 0.000 0.000 [4 per cell]
2 Pd 0.250 0.250 0.250 [8 per cell]
3 C 0.000 0.000 0.500 [4 per cell]

Properties
Relative energy among the computed polymorphs: 0.274 eV per atom
Energy relative to the elements, uncorrected: 0.800 eV/atom
Magnetization: 0.000 μB per atom


First-principles (PBE) data for crystalline Sc2PaTl2S6 at its relaxed geometry, as listed in the Alexandria database.

a b c (Å): 6.641 11.554 7.951
angles (deg): 90.00 106.40 90.00
Space group C2/m (No. 12)
Unique sites:
1 Sc 0.000 0.167 0.000 [4 per cell]
2 Pa 0.000 0.500 0.000 [2 per cell]
3 Tl 0.000 0.333 0.500 [4 per cell]
4 S 0.223 0.000 0.189 [4 per cell]
5 S 0.232 0.329 0.189 [8 per cell]

Properties
Energy relative to the elements, uncorrected: -1.443 eV/atom
Magnetization: 0.099 μB per atom


First-principles (PBE) data for crystalline K9Na4Hg at its relaxed geometry, as listed in the Alexandria database.

a b c (Å): 12.1010 12.1010 12.3011
angles (deg): 90.00 90.00 120.00
Space group P6_3/mmc (No. 194)
Unique sites:
1 K 0.0725 0.5362 0.2500 [6 per cell]
2 K 0.2026 0.4052 0.5572 [12 per cell]
3 Na 0.0000 0.0000 0.0000 [2 per cell]
4 Na 0.1026 0.2052 0.2500 [6 per cell]
5 Hg 0.3333 0.6667 0.7500 [2 per cell]

Properties
Magnetization: 0.000 μB per atom
Final energy: -1.1433 eV per atom


First-principles (PBE) data for crystalline PaSi4Ni2Ir at its relaxed geometry, as listed in the Alexandria database.

a b c (Å): 3.9590 3.9590 26.0036
angles (deg): 90.00 90.00 120.00
Space group R-3m (No. 166, hexagonal axes)
Unique sites:
1 Pa 0.0000 0.0000 0.0000 [3 per cell]
2 Si 0.0000 0.0000 0.1222 [6 per cell]
3 Si 0.0000 0.0000 0.4020 [6 per cell]
4 Ni 0.0000 0.0000 0.2448 [6 per cell]
5 Ir 0.0000 0.0000 0.5000 [3 per cell]

Properties
Energy relative to the elements, uncorrected: -0.450 eV/atom
Magnetization: 0.000 μB per atom


First-principles (PBE) data for crystalline Ac4Ga2I5 at its relaxed geometry, as listed in the Alexandria database.

a b c (Å): 25.668 4.598 9.273
angles (deg): 90.00 92.09 90.00
Space group C2/m (No. 12)
Unique sites:
1 Ac 0.011 0.000 0.289 [4 per cell]
2 Ac 0.159 0.500 0.448 [4 per cell]
3 Ga 0.048 0.500 0.519 [4 per cell]
4 I 0.000 0.500 0.000 [2 per cell]
5 I 0.142 0.000 0.190 [4 per cell]
6 I 0.210 0.000 0.677 [4 per cell]

Properties
Energy relative to the elements, uncorrected: -1.018 eV/atom
Magnetization: 0.000 μB per atom


First-principles (PBE) data for crystalline Ce4ScCd at its relaxed geometry, as listed in the Alexandria database.

a b c (Å): 5.447 6.204 8.988
angles (deg): 90.00 90.00 90.00
Space group Immm (No. 71)
Unique sites:
1 Ce 0.000 0.226 0.156 [8 per cell]
2 Sc 0.000 0.500 0.500 [2 per cell]
3 Cd 0.000 0.000 0.500 [2 per cell]

Properties
Magnetization: 0.000 μB per atom
Final energy: -5.2020 eV per atom


First-principles (PBE) data for crystalline Y3Ta at its relaxed geometry, as listed in the Alexandria database.

a b c (Å): 3.3516 3.3516 33.8481
angles (deg): 90.00 90.00 120.00
Space group R-3m (No. 166, hexagonal axes)
Unique sites:
1 Y 0.0000 0.0000 0.0000 [3 per cell]
2 Y 0.0000 0.0000 0.2411 [6 per cell]
3 Ta 0.0000 0.0000 0.5000 [3 per cell]

Properties
Relative energy among the computed polymorphs: 0.074 eV per atom
Magnetization: 0.000 μB per atom


First-principles (PBE) data for crystalline Er2Tm5CdTc2 at its relaxed geometry, as listed in the Alexandria database.

a b c (Å): 11.277 11.277 4.044
angles (deg): 90.00 90.00 90.00
Space group P4/mbm (No. 127)
Unique sites:
1 Er 0.172 0.328 0.000 [4 per cell]
2 Tm 0.000 0.500 0.500 [2 per cell]
3 Tm 0.073 0.789 0.500 [8 per cell]
4 Cd 0.000 0.000 0.000 [2 per cell]
5 Tc 0.124 0.624 0.000 [4 per cell]

Properties
Magnetization: 0.000 μB per atom
Final energy: -5.4404 eV per atom